Here is an optimized crystal structure of YIrSe4 from Alexandria. Energies are from PBE.

Computed properties:
total energy: -4.457 eV/atom
raw formation energy: 2.52 eV per formula unit
DOS at the Fermi energy: 1.246 states/eV/atom

Lattice parameters (Å, degrees): 7.906 7.906 7.906 90.00 90.00 90.00
Space group F-43m (No. 216)
Unique sites:
Y 0.000 0.000 0.000
Ir 0.250 0.250 0.750
Se 0.124 0.124 0.376

***

Here is an optimized crystal structure of ScH3N from Alexandria. Energies are from PBE.

Computed properties:
energy above the lowest structure with this stoichiometry: 0.000 eV/atom
total energy: -4.310 eV/atom
DOS at the Fermi energy: 0.432 states/eV/atom

Lattice parameters (Å, degrees): 3.258 3.258 3.258 90.00 90.00 90.00
Space group Pm-3m (No. 221)
Unique sites:
Sc 0.000 0.000 0.000
H 0.000 0.500 0.500
N 0.500 0.500 0.500